Entry from Alexandria via LeMat-Bulk: crystalline Tb8HRu5 at its relaxed geometry (PBE).

abc: 7.3605 7.3605 7.3605
angles: 110.97 106.51 110.97
Last column: nearest neighbours and their distance in Å.
Element x y z (fractional)
Tb1 0.1590 0.7441 0.0110  1 H 2.55, 2 Ru 2.69-2.79
Tb2 0.9890 0.1481 0.7331  1 H 2.55, 2 Ru 2.69-2.79
Tb3 0.7201 0.2405 0.3393  5 Ru 2.77-3.09
Tb4 0.6607 0.3808 0.9012  5 Ru 2.77-3.09
Tb5 0.5204 0.6192 0.2799  5 Ru 2.77-3.09
Tb6 0.5851 0.8519 0.8410  1 H 2.55, 2 Ru 2.69-2.79
Tb7 0.2669 0.2559 0.4149  1 H 2.55, 2 Ru 2.69-2.79
Tb8 0.0988 0.7595 0.4796  5 Ru 2.77-3.09
H1 0.2500 0.5000 0.7500  4 Tb 2.55
Ru1 0.0229 0.3514 0.1366  4 Tb 2.69-2.88
Ru2 0.8634 0.8863 0.2149  4 Tb 2.69-2.88
Ru3 0.7851 0.6486 0.6714  4 Tb 2.69-2.88
Ru4 0.5000 0.0000 0.5000  8 Tb 2.77-3.07
Ru5 0.3286 0.1137 0.9771  4 Tb 2.69-2.88

Summary:
- VASP energy (eV per atom) = -6.447